# 1
PBE Zn5In12Bi3, optimized geometry; DFT total energy = -2.390 eV per atom; space-group type = Ia-3d (230); magnetic moment = 0.0 μB per cell
1.0
-8.4935 8.4935 8.4935
8.4935 -8.4935 8.4935
8.4935 8.4935 -8.4935
Zn In Bi
20 48 12
Cartesian
0.0000 0.0000 0.0000
4.2468 4.2468 -4.2468
4.2468 -4.2468 4.2468
8.4935 0.0000 0.0000
12.7403 2.1234 0.0000
8.4935 -4.2468 6.3702
6.3702 8.4935 -4.2468
6.3702 0.0000 4.2468
4.2468 6.3702 0.0000
8.4935 4.2468 2.1234
-4.2468 4.2468 4.2468
0.0000 8.4935 0.0000
0.0000 0.0000 8.4935
4.2468 4.2468 4.2468
0.0000 4.2468 6.3702
4.2468 2.1234 8.4935
2.1234 8.4935 4.2468
2.1234 0.0000 12.7403
0.0000 12.7403 2.1234
-4.2468 6.3702 8.4935
2.4584 -0.4561 1.1274
10.2819 5.3742 -4.7029
8.0374 -1.1274 2.4584
13.1964 -1.7883 3.1194
10.9520 0.4561 1.1274
10.2819 -3.1194 4.7029
1.1274 2.4584 -0.4561
11.6129 3.7907 -1.7883
5.3742 4.7029 -1.7883
7.3662 2.4584 0.4561
-0.4561 1.1274 2.4584
4.7029 -1.7883 5.3742
8.0374 7.3662 -2.4584
4.7029 1.7883 3.1194
7.3662 -2.4584 8.0374
5.3742 -4.7029 10.2819
3.1194 4.7029 1.7883
9.6209 6.0351 0.4561
2.4584 8.0374 -1.1274
10.2819 3.1194 3.7907
4.7029 10.2819 -3.1194
8.0374 1.1274 6.0351
1.7883 3.1194 4.7029
2.4584 0.4561 7.3662
6.0351 8.0374 1.1274
6.7052 5.3742 3.7907
0.4561 7.3662 2.4584
3.7907 -1.7883 11.6129
-1.7883 5.3742 4.7029
6.0351 0.4561 9.6209
-1.1274 2.4584 8.0374
5.3742 3.7907 6.7052
3.1194 13.1964 -1.7883
1.1274 10.9520 0.4561
3.7907 6.7052 5.3742
0.4561 1.1274 10.9520
3.7907 10.2819 3.1194
8.9497 7.3662 6.0351
1.1274 6.0351 8.0374
3.1194 3.7907 10.2819
-3.1194 4.7029 10.2819
7.3662 6.0351 8.9497
-1.7883 11.6129 3.7907
-2.4584 8.0374 7.3662
-4.7029 10.2819 5.3742
0.4561 9.6209 6.0351
-1.7883 3.1194 13.1964
6.0351 8.9497 7.3662
4.2468 2.1234 0.0000
8.4935 4.2468 -2.1234
2.1234 0.0000 4.2468
10.6169 0.0000 4.2468
0.0000 4.2468 2.1234
4.2468 -2.1234 8.4935
4.2468 10.6169 0.0000
8.4935 4.2468 6.3702
-2.1234 8.4935 4.2468
6.3702 8.4935 4.2468
0.0000 4.2468 10.6169
4.2468 6.3702 8.4935

---

# 2
PBE LiReTe4, optimized geometry; energy relative to the elements, uncorrected = 104.0 kJ per mole of atoms; space-group type = F-43m (216); magnetic moment = 5.5 μB per cell
1.0
0.0000 4.5140 4.5140
4.5140 0.0000 4.5140
4.5140 4.5140 0.0000
Li Re Te
1 1 4
Cartesian
0.0000 0.0000 0.0000
6.7710 6.7710 6.7710
3.3905 3.3905 3.3905
5.6375 5.6375 3.3905
5.6375 3.3905 5.6375
3.3905 5.6375 5.6375